Below is CrPb3N at its PBEsol-relaxed geometry, with properties calculated at the meta-GGA SCAN level.

Cell and atoms, written as POSCAR:
```
CrPb3N
1.0
4.887 0.000 0.000
0.000 4.887 0.000
0.000 0.000 4.887
N Pb Cr
1 3 1
direct
0.000 0.000 0.000
0.500 0.000 0.000
0.000 0.000 0.500
0.000 0.500 0.000
0.500 0.500 0.500
```

Properties
The density of states at the Fermi level comes out at 2.1 states/eV/f.u. The space-group type is Pm-3m, No. 221. For the uncorrected formation energy, the calculation gives 0.7861 eV per atom. Its uncorrected energy is -50.218 eV per atom. Its density is 9781 kg/m³. The calculation puts the spin magnetization at 4.060 μB/f.u. Its distance to the lowest polymorph of the same formula is 0.0000 eV per atom.

---

Below is Sb2PbAu at its PBEsol-relaxed geometry, with properties calculated at the meta-GGA SCAN level.

Cell and atoms, written as POSCAR:
```
Sb2PbAu
1.0
-2.852 1.470 1.951
-1.649 -3.371 0.128
3.419 -1.442 6.083
Sb Pb Au
2 1 1
direct
0.500 0.500 0.262
0.000 0.000 0.045
0.500 0.500 0.708
0.000 0.000 0.485
```

Properties
The density of states at the Fermi level comes out at 1.7 states/eV/f.u. The space-group type is P4mm, No. 99. For the uncorrected formation energy, the calculation gives 0.1087 eV per atom. Its uncorrected energy is -54.756 eV per atom. Its density is 10706 kg/m³. The calculation puts the spin magnetization at 0.000 μB/f.u.

---

Below is K2CuRu at its PBEsol-relaxed geometry, with properties calculated at the meta-GGA SCAN level.

Cell and atoms, written as POSCAR:
```
K2CuRu
1.0
-1.026 -0.807 3.067
3.153 0.036 1.064
-0.861 9.562 2.229
Ru Cu K
1 1 2
direct
0.000 0.000 0.592
0.500 0.500 0.662
0.000 0.000 0.902
0.500 0.500 0.344
```

Properties
The density of states at the Fermi level comes out at 3.1 states/eV/f.u. For the formation energy, the calculation gives 2.94 eV/f.u. The space-group type is P4mm, No. 99. Its uncorrected energy is -15.936 eV per atom. Its density is 3688 kg/m³. The calculation puts the spin magnetization at 0.059 μB/f.u. Its distance to the lowest polymorph of the same formula is 0.0000 eV per atom.

---

Below is Rb2ZnC at its PBEsol-relaxed geometry, with properties calculated at the meta-GGA SCAN level.

Cell and atoms, written as POSCAR:
```
Rb2ZnC
1.0
5.509 0.000 0.000
2.754 4.771 0.000
2.754 1.590 4.498
Zn C Rb
1 1 2
direct
0.500 0.500 0.500
0.000 0.000 0.000
0.750 0.750 0.750
0.250 0.250 0.250
```

Properties
The density of states at the Fermi level comes out at 2.3 states/eV/f.u. For the formation energy, the calculation gives 5.01 eV/f.u. The space-group type is Fm-3m, No. 225. Its uncorrected energy is -15.020 eV per atom. Its density is 3489 kg/m³. The calculation puts the spin magnetization at 2.000 μB/f.u.

---

Below is SrBeNi2 at its PBEsol-relaxed geometry, with properties calculated at the meta-GGA SCAN level.

Cell and atoms, written as POSCAR:
```
SrBeNi2
1.0
3.892 0.005 0.026
1.941 3.373 0.026
1.914 1.109 5.211
Ni Be Sr
2 1 1
direct
0.313 0.313 0.063
0.009 0.009 0.972
0.681 0.681 0.957
0.497 0.497 0.508
```

Properties
The density of states at the Fermi level comes out at 2.8 states/eV/f.u. For the formation energy, the calculation gives -0.39 eV/f.u. The space-group type is R3m, No. 160. Its uncorrected energy is -14.842 eV per atom. Its density is 5217 kg/m³. The calculation puts the spin magnetization at 0.001 μB/f.u. Its distance to the lowest polymorph of the same formula is 0.0000 eV per atom.

---

Below is SiSbPdI2 at its PBEsol-relaxed geometry, with properties calculated at the meta-GGA SCAN level.

Cell and atoms, written as POSCAR:
```
SiSbPdI2
1.0
5.208 0.000 0.000
0.000 5.300 0.000
0.000 0.000 5.300
Si I Sb Pd
1 2 1 1
direct
0.000 0.000 0.000
0.000 0.000 0.500
0.000 0.500 0.000
0.500 0.000 0.000
0.500 0.500 0.500
```

Properties
The density of states at the Fermi level comes out at 4.7 states/eV/f.u. The space-group type is P4/mmm, No. 123. For the uncorrected formation energy, the calculation gives 0.8541 eV per atom. Its uncorrected energy is -29.853 eV per atom. Its density is 5789 kg/m³. The calculation puts the spin magnetization at 0.000 μB/f.u.

---

Below is AsRuRhN2 at its PBEsol-relaxed geometry, with properties calculated at the meta-GGA SCAN level.

Cell and atoms, written as POSCAR:
```
AsRuRhN2
1.0
-2.751 1.853 1.499
-0.109 -2.385 2.748
3.557 3.034 2.776
As Ru N Rh
1 1 2 1
direct
0.500 0.500 0.500
0.000 0.000 0.000
0.500 0.000 0.000
0.000 0.500 0.000
0.000 0.000 0.500
```

Properties
The density of states at the Fermi level comes out at 2.4 states/eV/f.u. The space-group type is P4/mmm, No. 123. For the uncorrected formation energy, the calculation gives 0.8029 eV per atom. Its uncorrected energy is -20.671 eV per atom. Its density is 7074 kg/m³. The calculation puts the spin magnetization at 0.000 μB/f.u.

---

Below is Li12Nb14ZnO42 at its PBEsol-relaxed geometry, with properties calculated at the meta-GGA SCAN level.

Cell and atoms, written as POSCAR:
```
Li12Nb14ZnO42
1.0
-4.099 -3.831 6.961
-0.666 -6.828 -6.060
9.218 -0.633 3.169
O Nb Li Zn
42 14 12 1
direct
0.741 0.426 0.119
0.988 0.426 0.369
0.253 0.983 0.399
0.171 0.140 0.977
0.828 0.269 0.545
0.110 0.415 0.113
0.553 0.716 0.504
0.044 0.131 0.222
0.837 0.099 0.955
0.121 0.239 0.530
0.728 0.169 0.239
0.679 0.701 0.251
0.453 0.280 0.541
0.409 0.389 0.099
0.846 0.855 0.083
0.872 0.738 0.515
0.593 0.861 0.839
0.125 0.996 0.655
0.902 0.557 0.934
0.397 0.556 0.683
0.979 0.845 0.831
0.300 0.453 0.383
0.417 0.141 0.225
0.016 0.306 0.811
0.266 0.812 0.809
0.762 0.997 0.646
0.538 0.134 0.969
0.024 0.566 0.687
0.614 0.419 0.364
0.979 0.671 0.240
0.273 0.569 0.939
0.158 0.883 0.099
0.442 0.025 0.669
0.312 0.710 0.260
0.687 0.517 0.665
0.552 0.960 0.383
0.327 0.273 0.792
0.882 0.995 0.404
0.184 0.701 0.507
0.587 0.596 0.952
0.470 0.843 0.078
0.703 0.281 0.799
0.501 0.506 0.502
0.219 0.358 0.933
0.359 0.929 0.216
0.062 0.778 0.642
0.646 0.067 0.789
0.429 0.714 0.857
0.002 0.998 0.001
0.852 0.432 0.721
0.144 0.572 0.288
0.786 0.643 0.071
0.709 0.851 0.428
0.572 0.287 0.145
0.929 0.214 0.356
0.294 0.141 0.573
0.105 0.695 0.925
0.458 0.623 0.136
0.314 0.046 0.853
0.888 0.332 0.997
0.246 0.264 0.211
0.673 0.976 0.066
0.382 0.835 0.494
0.818 0.547 0.348
0.531 0.406 0.782
0.175 0.477 0.567
0.032 0.905 0.282
0.605 0.194 0.423
0.963 0.123 0.637
```

Properties
The density of states at the Fermi level comes out at 0.0 states/eV/f.u. The space-group type is P1, No. 1. For the uncorrected formation energy, the calculation gives -2.6637 eV per atom. Its uncorrected energy is -13.790 eV per atom. Its density is 4688 kg/m³. The calculation puts the spin magnetization at 0.000 μB/f.u.

---

- Number 8 is which compound?
  Li12Nb14ZnO42

---

- Look up the spin magnetization of the fifth one.
  0.001 μB/f.u.